# 1
Density functional theory data (PBE-GGA) for a relaxed Ba2Li12TlAg3 crystal.

abc: 9.0276 9.0276 9.0276
angles: 56.40 56.40 56.40
With the nearest neighbours (Å) after each atom.
Fractional coordinates of all 18 atoms:
Ba  0.5821  0.5821  0.5821  6 Li 3.33-3.57, 1 Ba 3.73
Ba  0.4179  0.4179  0.4179  6 Li 3.33-3.57, 1 Ba 3.73
Li  0.2170  0.2170  0.8856  2 Ag 2.56, 2 Li 2.83
Li  0.8436  0.8436  0.4586  1 Ag 2.74, 2 Li 2.94
Li  0.4586  0.8436  0.8436  1 Ag 2.74, 2 Li 2.94
Li  0.8856  0.2170  0.2170  2 Ag 2.56, 2 Li 2.83
Li  0.8436  0.4586  0.8436  1 Ag 2.74, 2 Li 2.94
Li  0.2170  0.8856  0.2170  2 Ag 2.56, 2 Li 2.83
Li  0.7830  0.7830  0.1144  2 Ag 2.56, 2 Li 2.83
Li  0.1564  0.1564  0.5414  1 Ag 2.74, 2 Li 2.94
Li  0.5414  0.1564  0.1564  1 Ag 2.74, 2 Li 2.94
Li  0.1144  0.7830  0.7830  2 Ag 2.56, 2 Li 2.83
Li  0.1564  0.5414  0.1564  1 Ag 2.74, 2 Li 2.94
Li  0.7830  0.1144  0.7830  2 Ag 2.56, 2 Li 2.83
Tl  0.0000  0.0000  0.0000  12 Li 2.92-3.22
Ag  0.5000  0.0000  0.0000  6 Li 2.56-2.74
Ag  0.0000  0.5000  0.0000  6 Li 2.56-2.74
Ag  0.0000  0.0000  0.5000  6 Li 2.56-2.74

Summary:
ΔH_f (0 K): 0.094 eV per atom

# 2
Density functional theory data (PBE-GGA) for a relaxed Er2ScAl9 crystal.

abc: 4.1915 4.1915 12.5587
angles: 90.00 90.00 90.00
With the nearest neighbours (Å) after each atom.
Fractional coordinates of all 12 atoms:
Er  0.0000  0.0000  0.3303  12 Al 2.96-2.99
Er  0.0000  0.0000  0.6697  12 Al 2.96-2.99
Sc  0.0000  0.0000  0.0000  12 Al 2.91-2.96
Al  0.5000  0.5000  0.0000  8 Al 2.91, 4 Sc 2.96
Al  0.5000  0.5000  0.3315  4 Er 2.96, 8 Al 2.98-3.00
Al  0.5000  0.5000  0.6685  4 Er 2.96, 8 Al 2.98-3.00
Al  0.5000  0.0000  0.1604  2 Sc 2.91, 8 Al 2.91-3.00, 2 Er 2.99
Al  0.5000  0.0000  0.5000  8 Al 2.96-2.98, 4 Er 2.99
Al  0.5000  0.0000  0.8396  2 Sc 2.91, 8 Al 2.91-3.00, 2 Er 2.99
Al  0.0000  0.5000  0.1604  2 Sc 2.91, 8 Al 2.91-3.00, 2 Er 2.99
Al  0.0000  0.5000  0.5000  8 Al 2.96-2.98, 4 Er 2.99
Al  0.0000  0.5000  0.8396  2 Sc 2.91, 8 Al 2.91-3.00, 2 Er 2.99

Summary:
ΔH_f (0 K): -0.425 eV per atom

# 3
Density functional theory data (PBE-GGA) for a relaxed Be4TeW crystal.

abc: 4.6134 4.6134 4.6134
angles: 60.00 60.00 60.00
With the nearest neighbours (Å) after each atom.
Fractional coordinates of all 6 atoms:
Be  0.8875  0.3708  0.3708  6 Be 2.23-2.38
Be  0.3708  0.3708  0.8875  6 Be 2.23-2.38
Be  0.3708  0.8875  0.3708  6 Be 2.23-2.38
Be  0.3708  0.3708  0.3708  6 Be 2.23-2.38
Te  0.7500  0.7500  0.7500  12 Be 2.71, 4 W 2.83
W  0.0000  0.0000  0.0000  12 Be 2.70, 4 Te 2.83

Summary:
energy relative to the elements, uncorrected: 256 meV per atom

# 4
Density functional theory data (PBE-GGA) for a relaxed Li2TaTl3Te6 crystal.

abc: 7.4639 7.4639 7.8729
angles: 99.27 99.27 120.01
With the nearest neighbours (Å) after each atom.
Fractional coordinates of all 12 atoms:
Li  0.3330  0.6670  0.0000  6 Te 2.98-3.02
Li  0.6670  0.3330  0.0000  6 Te 2.98-3.02
Ta  0.0000  0.0000  0.0000  6 Te 2.80-2.82
Tl  0.1604  0.8396  0.5000  6 Te 3.22-3.47
Tl  0.8396  0.1604  0.5000  6 Te 3.22-3.47
Tl  0.5000  0.5000  0.5000  6 Te 3.26-3.43
Te  0.9334  0.6184  0.7924  1 Ta 2.80, 2 Li 2.98-3.02
Te  0.7521  0.7521  0.2053  1 Ta 2.82, 2 Li 2.98
Te  0.0666  0.3816  0.2076  1 Ta 2.80, 2 Li 2.98-3.02
Te  0.6184  0.9334  0.7924  1 Ta 2.80, 2 Li 2.98-3.02
Te  0.2479  0.2479  0.7947  1 Ta 2.82, 2 Li 2.98
Te  0.3816  0.0666  0.2076  1 Ta 2.80, 2 Li 2.98-3.02

Summary:
energy relative to the elements, uncorrected: -390 meV per atom

# 5
Density functional theory data (PBE-GGA) for a relaxed Tc3Rh2 crystal.

abc: 8.0837 7.0277 5.2177
angles: 81.16 59.21 39.63
With the nearest neighbours (Å) after each atom.
Fractional coordinates of all 10 atoms:
Tc  0.3385  0.4548  0.7549  3 Tc 2.55-2.67, 6 Rh 2.65-2.78
Tc  0.4518  0.7549  0.4548  3 Tc 2.55-2.67, 6 Rh 2.65-2.78
Tc  0.7952  0.9115  0.7982  3 Tc 2.55-2.67, 6 Rh 2.65-2.78
Tc  0.4951  0.7982  0.9115  3 Tc 2.55-2.67, 6 Rh 2.65-2.78
Tc  0.9505  0.0495  0.0495  2 Tc 2.55, 6 Rh 2.59-2.85
Tc  0.2005  0.2995  0.2995  2 Tc 2.55, 6 Rh 2.59-2.85
Rh  0.3671  0.5383  0.2025  9 Tc 2.59-2.85, 2 Rh 2.76
Rh  0.8921  0.2025  0.5383  9 Tc 2.59-2.85, 2 Rh 2.76
Rh  0.7117  0.8829  0.3579  9 Tc 2.59-2.85, 2 Rh 2.76
Rh  0.0475  0.3579  0.8829  9 Tc 2.59-2.85, 2 Rh 2.76

Summary:
ΔH_f (0 K): 0.032 eV per atom

# 6
Density functional theory data (PBE-GGA) for a relaxed KNaTcHg2 crystal.

abc: 6.1074 6.0283 6.1074
angles: 90.00 90.00 90.00
With the nearest neighbours (Å) after each atom.
Fractional coordinates of all 5 atoms:
Na  0.5000  0.5000  0.5000  8 Hg 4.29, 4 Tc 4.32
K  0.0000  0.0000  0.0000  2 Tc 3.01, 4 Hg 3.05
Hg  0.0000  0.0000  0.5000  2 K 3.05
Hg  0.5000  0.0000  0.0000  2 K 3.05
Tc  0.0000  0.5000  0.0000  2 K 3.01

Summary:
ΔH_f (0 K): 1.230 eV per atom

# 7
Density functional theory data (PBE-GGA) for a relaxed AcPmSiBr crystal.

abc: 5.3688 5.3688 5.3688
angles: 60.00 60.00 60.00
With the nearest neighbours (Å) after each atom.
Fractional coordinates of all 4 atoms:
Ac  0.5000  0.5000  0.5000  4 Si 3.29, 4 Br 3.29
Si  0.2500  0.2500  0.2500  4 Ac 3.29, 4 Pm 3.29
Br  0.7500  0.7500  0.7500  4 Pm 3.29, 4 Ac 3.29
Pm  0.0000  0.0000  0.0000  4 Si 3.29, 4 Br 3.29

Summary:
energy relative to the elements, uncorrected: -825 meV per atom

# 8
Density functional theory data (PBE-GGA) for a relaxed Tc2SbBr crystal.

abc: 5.1158 5.1158 5.1158
angles: 132.53 132.53 69.40
With the nearest neighbours (Å) after each atom.
Fractional coordinates of all 4 atoms:
Sb  0.7500  0.2500  0.5000  8 Tc 2.91-2.94, 4 Br 2.94
Tc  0.0000  0.0000  0.0000  4 Br 2.91, 4 Tc 2.94, 4 Sb 2.94
Tc  0.2500  0.7500  0.5000  4 Sb 2.91, 4 Tc 2.94, 4 Br 2.94
Br  0.5000  0.5000  0.0000  8 Tc 2.91-2.94, 4 Sb 2.94

Summary:
energy relative to the elements, uncorrected: 957 meV per atom

Volume: 26.5 18.4 11.6 30.0 14.6 45.0 27.4 17.8 (Å³/atom)